First-principles (GGA-PBE) data for Sr2YAlH after structural relaxation, as listed in Alexandria via LeMat-Bulk.

```
data_Sr2YAlH
_cell_length_a 5.028
_cell_length_b 5.028
_cell_length_c 5.237
_cell_angle_alpha 90.00
_cell_angle_beta 90.00
_cell_angle_gamma 90.00
_symmetry_space_group_name_H-M 'P 1'
_symmetry_Int_Tables_number 1
_symmetry_space_group_name_Hall 'P 1'
loop_
_atom_site_label
_atom_site_type_symbol
_atom_site_fract_x
_atom_site_fract_y
_atom_site_fract_z
Sr1 Sr 0.000 0.500 0.000
Sr2 Sr 0.500 0.000 0.000
H1 H 0.000 0.000 0.000
Al1 Al 0.500 0.500 0.500
Y1 Y 0.000 0.000 0.500
```

Output
**Total magnetic moment**: 0.0001 μB/atom
**DFT total energy**: -0.12724 hartree per atom
**Volume**: 26.48 Å³/atom